Entry 1:
DFT (GGA-PBE) results for crystalline AgTePbF at its relaxed geometry.

Raw total energy in eV/atom: -3.72
Polymorph energy (0 for the lowest one) in kJ per mole of atoms: 15.7

abc: 9.4180 20.0940 4.4299
angles: 90.00 90.00 90.00
Positions (direct):
1 Te 0.2302 0.0008 0.0000
2 Te 0.7234 0.2333 0.0000
3 Te 0.2766 0.7667 0.0000
4 Te 0.2698 0.5008 0.0000
5 Te 0.7698 0.9992 0.0000
6 Te 0.7766 0.7333 0.0000
7 Te 0.7302 0.4992 0.0000
8 Te 0.2234 0.2667 0.0000
9 Pb 0.9844 0.2592 0.5000
10 Pb 0.5156 0.7592 0.5000
11 Pb 0.7854 0.1020 0.5000
12 Pb 0.7146 0.6020 0.5000
13 Pb 0.0156 0.7408 0.5000
14 Pb 0.4844 0.2408 0.5000
15 Pb 0.2854 0.3980 0.5000
16 Pb 0.2146 0.8980 0.5000
17 Ag 0.5107 0.9324 0.0000
18 Ag 0.9893 0.4324 0.0000
19 Ag 0.4893 0.0676 0.0000
20 Ag 0.2020 0.1333 0.0000
21 Ag 0.7980 0.8667 0.0000
22 Ag 0.2980 0.6333 0.0000
23 Ag 0.0107 0.5676 0.0000
24 Ag 0.7020 0.3667 0.0000
25 F 0.5166 0.1205 0.5000
26 F 0.4702 0.6389 0.5000
27 F 0.0298 0.1389 0.5000
28 F 0.9702 0.8611 0.5000
29 F 0.5298 0.3611 0.5000
30 F 0.9834 0.6205 0.5000
31 F 0.0166 0.3795 0.5000
32 F 0.4834 0.8795 0.5000

=====

Entry 2:
DFT (GGA-PBE) results for crystalline NbCuGePd at its relaxed geometry.

Raw total energy in eV/atom: -5.88
Total moment in μB/cell: 0.2
Polymorph energy (0 for the lowest one) in kJ per mole of atoms: 13.7

abc: 4.4353 4.4353 4.4353
angles: 60.00 60.00 60.00
Positions (direct):
1 Cu 0.7500 0.7500 0.7500
2 Nb 0.5000 0.5000 0.5000
3 Ge 0.0000 0.0000 0.0000
4 Pd 0.2500 0.2500 0.2500

=====

Entry 3:
DFT (GGA-PBE) results for crystalline TmFeAu at its relaxed geometry.

Raw total energy in eV/atom: -4.94
Energy of formation in meV per atom: 408
Total moment in μB/cell: 2.3

abc: 4.6059 4.6059 4.6059
angles: 60.00 60.00 60.00
Positions (direct):
1 Tm 0.0000 0.0000 0.0000
2 Fe 0.7500 0.7500 0.7500
3 Au 0.2500 0.2500 0.2500